MgScIr2: optimized geometry, PBE-GGA.

Values from the calculation:
ΔE_f = 4 kJ/mol of formula units
SG = R3m (160)
density of states at the Fermi level = 13.2 states/eV per cell
total magnetic moment = 0.172 μB/atom
total DFT energy (no corrections) = -76.83 eV/cell

Lattice parameters (Å, degrees): 2.9401 2.9401 27.8832 90.00 90.00 120.00
Sites, in units of the cell vectors:
Mg 0.0000 0.0000 0.0000
Mg 0.3333 0.6667 0.6667
Mg 0.6667 0.3333 0.3333
Sc 0.0000 0.0000 0.7690
Sc 0.3333 0.6667 0.4356
Sc 0.6667 0.3333 0.1023
Ir 0.0000 0.0000 0.2570
Ir 0.0000 0.0000 0.5094
Ir 0.3333 0.6667 0.1760
Ir 0.3333 0.6667 0.9236
Ir 0.6667 0.3333 0.5903
Ir 0.6667 0.3333 0.8427



Tl2MoAu: optimized geometry, PBE-GGA.

Values from the calculation:
ΔE_f = 230 kJ/mol of formula units
SG = R-3m (166)
density of states at the Fermi level = 9.6 states/eV per cell
total magnetic moment = 0.103 μB/atom
total DFT energy (no corrections) = -49.36 eV/cell

Lattice parameters (Å, degrees): 3.1531 3.1531 29.0150 90.00 90.00 120.00
Sites, in units of the cell vectors:
Tl 0.0000 0.0000 0.2480
Tl 0.0000 0.0000 0.7520
Tl 0.3333 0.6667 0.4186
Tl 0.3333 0.6667 0.9147
Tl 0.6667 0.3333 0.0853
Tl 0.6667 0.3333 0.5814
Mo 0.0000 0.0000 0.5000
Mo 0.3333 0.6667 0.1667
Mo 0.6667 0.3333 0.8333
Au 0.0000 0.0000 0.0000
Au 0.3333 0.6667 0.6667
Au 0.6667 0.3333 0.3333



Ce2HfAg: optimized geometry, PBE-GGA.

Values from the calculation:
ΔE_f = 15 kJ/mol of formula units
SG = P4/mmm (123)
density of states at the Fermi level = 8.6 states/eV per cell
total magnetic moment = 0.162 μB/atom
total DFT energy (no corrections) = -24.52 eV/cell

Lattice parameters (Å, degrees): 3.1637 3.1637 9.7167 90.00 90.00 90.00
Sites, in units of the cell vectors:
Ce 0.0000 0.0000 0.2462
Ce 0.0000 0.0000 0.7538
Hf 0.5000 0.5000 0.5000
Ag 0.5000 0.5000 0.0000



SrAc5Pb4: optimized geometry, PBE-GGA.

Values from the calculation:
ΔE_f = -383 kJ/mol of formula units
SG = C2/m (12)
density of states at the Fermi level = 5.8 states/eV per cell
total magnetic moment = 0.000 μB/atom
total DFT energy (no corrections) = -41.02 eV/cell

Lattice parameters (Å, degrees): 9.3320 9.3320 7.9768 91.74 91.74 36.39
Sites, in units of the cell vectors:
Sr 0.0000 0.0000 0.0000
Ac 0.0000 0.0000 0.5000
Ac 0.3328 0.3328 0.4904
Ac 0.3390 0.3390 0.0084
Ac 0.6610 0.6610 0.9916
Ac 0.6672 0.6672 0.5096
Pb 0.1777 0.1777 0.7517
Pb 0.4908 0.4908 0.7485
Pb 0.5092 0.5092 0.2515
Pb 0.8223 0.8223 0.2483